AsPd5Pb2 | GGA-PBE | optimized geometry Values from VASP.

Results
crystal system: triclinic
final energy: -5.02 eV/atom
space group: No. 1
formation energy: -0.264 eV per atom

Structure (Quantum ESPRESSO input):
```
&SYSTEM
  ibrav = 0, nat = 8, ntyp = 3
/
ATOMIC_SPECIES
As 74.92 As.upf
Pd 106.42 Pd.upf
Pb 207.20 Pb.upf
CELL_PARAMETERS angstrom
-4.6103 -4.3021 2.7891
2.5312 -4.1081 0.3384
1.9153 6.7948 2.4255
ATOMIC_POSITIONS crystal
As 0.0953 0.9518 0.0990
Pd 0.8481 0.3903 0.1989
Pd 0.1928 0.3919 0.0590
Pd 0.7268 0.8140 0.5999
Pb 0.3319 0.9672 0.6466
Pb 0.6938 0.0766 0.3420
Pd 0.2099 0.6178 0.7715
Pd 0.6784 0.5673 0.8373
```